Entry 1:
The following is a PBE calculation of a relaxed structure of Ba2CdBiN, from OQMD. Values from VASP.

Cell and atoms, written as Quantum ESPRESSO input:
```
&SYSTEM
  ibrav = 0, nat = 10, ntyp = 4
/
ATOMIC_SPECIES
Ba 137.33 Ba.upf
Bi 208.98 Bi.upf
Cd 112.41 Cd.upf
N 14.01 N.upf
CELL_PARAMETERS angstrom
2.250 -8.316 0.000
2.250 8.316 0.000
0.000 0.000 8.061
ATOMIC_POSITIONS crystal
Ba 0.956 0.044 0.281
Ba 0.044 0.956 0.781
Ba 0.761 0.239 0.799
Ba 0.239 0.761 0.299
Bi 0.591 0.409 0.467
Bi 0.409 0.591 0.967
Cd 0.603 0.397 0.089
Cd 0.397 0.603 0.589
N 0.838 0.162 0.498
N 0.162 0.838 0.998
```

Results
VASP energy	-3.8214	eV/atom

Entry 2:
The following is a PBE calculation of a relaxed structure of BaSrCdBiP, from OQMD. Values from VASP.

Cell and atoms, written as Quantum ESPRESSO input:
```
&SYSTEM
  ibrav = 0, nat = 10, ntyp = 5
/
ATOMIC_SPECIES
Ba 137.33 Ba.upf
Bi 208.98 Bi.upf
P 30.97 P.upf
Cd 112.41 Cd.upf
Sr 87.62 Sr.upf
CELL_PARAMETERS angstrom
-3.907 7.763 1.466
-0.187 -8.799 0.470
3.547 0.335 7.681
ATOMIC_POSITIONS crystal
Ba 0.044 0.956 0.253
Ba 0.956 0.044 0.753
Bi 0.423 0.577 0.056
Bi 0.577 0.423 0.556
P 0.176 0.824 0.994
P 0.824 0.176 0.494
Cd 0.400 0.600 0.418
Cd 0.600 0.400 0.918
Sr 0.222 0.778 0.645
Sr 0.778 0.222 0.145
```

Results
distance to the lowest polymorph of the same formula	46	meV per atom

Entry 3:
The following is a PBE calculation of a relaxed structure of BaSrCdBiP, from OQMD. Values from VASP.

Cell and atoms, written as Quantum ESPRESSO input:
```
&SYSTEM
  ibrav = 0, nat = 10, ntyp = 5
/
ATOMIC_SPECIES
Cd 112.41 Cd.upf
Bi 208.98 Bi.upf
Ba 137.33 Ba.upf
Sr 87.62 Sr.upf
P 30.97 P.upf
CELL_PARAMETERS angstrom
2.331 -8.700 0.000
2.331 8.700 0.000
0.000 0.000 8.170
ATOMIC_POSITIONS crystal
Cd 0.593 0.407 0.920
Cd 0.407 0.593 0.420
Bi 0.423 0.577 0.040
Bi 0.577 0.423 0.540
Ba 0.226 0.774 0.646
Ba 0.774 0.226 0.146
Sr 0.968 0.032 0.750
Sr 0.032 0.968 0.250
P 0.161 0.839 0.010
P 0.839 0.161 0.510
```

Results
distance to the lowest polymorph of the same formula	0	meV per atom

Entry 4:
The following is a PBE calculation of a relaxed structure of BaSrCdBiP, from OQMD. Values from VASP.

Cell and atoms, written as Quantum ESPRESSO input:
```
&SYSTEM
  ibrav = 0, nat = 10, ntyp = 5
/
ATOMIC_SPECIES
Bi 208.98 Bi.upf
P 30.97 P.upf
Sr 87.62 Sr.upf
Ba 137.33 Ba.upf
Cd 112.41 Cd.upf
CELL_PARAMETERS angstrom
2.305 -9.660 0.000
2.305 9.660 0.000
0.000 0.000 7.665
ATOMIC_POSITIONS crystal
Bi 0.678 0.322 0.069
Bi 0.322 0.678 0.569
P 0.073 0.927 0.574
P 0.927 0.073 0.074
Sr 0.687 0.313 0.553
Sr 0.313 0.687 0.053
Ba 0.516 0.484 0.288
Ba 0.484 0.516 0.788
Cd 0.872 0.128 0.381
Cd 0.128 0.872 0.881
```

Results
distance to the lowest polymorph of the same formula	68	meV per atom

Entry 5:
The following is a PBE calculation of a relaxed structure of BaSrCdBiSb, from OQMD. Values from VASP.

Cell and atoms, written as Quantum ESPRESSO input:
```
&SYSTEM
  ibrav = 0, nat = 10, ntyp = 5
/
ATOMIC_SPECIES
Sb 121.76 Sb.upf
Bi 208.98 Bi.upf
Sr 87.62 Sr.upf
Cd 112.41 Cd.upf
Ba 137.33 Ba.upf
CELL_PARAMETERS angstrom
2.456 -9.004 0.000
2.456 9.004 0.000
0.000 0.000 8.543
ATOMIC_POSITIONS crystal
Sb 0.568 0.432 0.564
Sb 0.432 0.568 0.064
Bi 0.179 0.821 0.000
Bi 0.821 0.179 0.500
Sr 0.798 0.202 0.111
Sr 0.202 0.798 0.611
Cd 0.591 0.409 0.923
Cd 0.409 0.591 0.423
Ba 0.966 0.034 0.768
Ba 0.034 0.966 0.268
```

Results
distance to the lowest polymorph of the same formula	7	meV per atom

Entry 6:
The following is a PBE calculation of a relaxed structure of BaSrCdBiSb, from OQMD. Values from VASP.

Cell and atoms, written as Quantum ESPRESSO input:
```
&SYSTEM
  ibrav = 0, nat = 10, ntyp = 5
/
ATOMIC_SPECIES
Ba 137.33 Ba.upf
Sr 87.62 Sr.upf
Bi 208.98 Bi.upf
Sb 121.76 Sb.upf
Cd 112.41 Cd.upf
CELL_PARAMETERS angstrom
1.320 6.734 -6.188
-4.697 -7.479 2.717
-5.540 5.044 4.307
ATOMIC_POSITIONS crystal
Ba 0.965 0.035 0.765
Ba 0.035 0.965 0.265
Sr 0.210 0.790 0.621
Sr 0.790 0.210 0.121
Bi 0.428 0.572 0.060
Bi 0.572 0.428 0.560
Sb 0.824 0.176 0.497
Sb 0.176 0.824 0.997
Cd 0.593 0.407 0.923
Cd 0.407 0.593 0.423
```

Results
distance to the lowest polymorph of the same formula	0	meV per atom

Entry 7:
The following is a PBE calculation of a relaxed structure of BaSrCdBi2, from OQMD. Values from VASP.

Cell and atoms, written as Quantum ESPRESSO input:
```
&SYSTEM
  ibrav = 0, nat = 10, ntyp = 4
/
ATOMIC_SPECIES
Cd 112.41 Cd.upf
Bi 208.98 Bi.upf
Sr 87.62 Sr.upf
Ba 137.33 Ba.upf
CELL_PARAMETERS angstrom
7.535 4.839 -2.804
-9.328 -1.013 0.138
-0.414 4.780 7.137
ATOMIC_POSITIONS crystal
Cd 0.092 0.908 0.925
Cd 0.908 0.092 0.425
Bi 0.678 0.322 0.001
Bi 0.072 0.928 0.559
Bi 0.928 0.072 0.059
Bi 0.322 0.678 0.501
Sr 0.707 0.293 0.614
Sr 0.293 0.707 0.114
Ba 0.468 0.532 0.767
Ba 0.532 0.468 0.267
```

Results
VASP energy	-3.2523	eV/atom

Entry 8:
The following is a PBE calculation of a relaxed structure of BaSrCd2Bi4, from OQMD. Values from VASP.

Cell and atoms, written as Quantum ESPRESSO input:
```
&SYSTEM
  ibrav = 0, nat = 8, ntyp = 4
/
ATOMIC_SPECIES
Ba 137.33 Ba.upf
Bi 208.98 Bi.upf
Cd 112.41 Cd.upf
Sr 87.62 Sr.upf
CELL_PARAMETERS angstrom
-2.381 2.381 11.585
2.381 -2.381 11.585
2.381 2.381 -11.585
ATOMIC_POSITIONS crystal
Ba 0.116 0.116 0.000
Bi 0.495 0.995 0.500
Bi 0.995 0.495 0.500
Bi 0.339 0.339 0.000
Bi 0.668 0.668 0.000
Cd 0.753 0.253 0.500
Cd 0.253 0.753 0.500
Sr 0.881 0.881 0.000
```

Results
VASP energy	-3.2045	eV/atom

Entry 9:
The following is a PBE calculation of a relaxed structure of Ba2CoBi, from OQMD. Values from VASP.

Cell and atoms, written as Quantum ESPRESSO input:
```
&SYSTEM
  ibrav = 0, nat = 4, ntyp = 3
/
ATOMIC_SPECIES
Co 58.93 Co.upf
Bi 208.98 Bi.upf
Ba 137.33 Ba.upf
CELL_PARAMETERS angstrom
0.000 3.916 3.916
3.916 0.000 3.916
3.916 3.916 0.000
ATOMIC_POSITIONS crystal
Co 0.250 0.250 0.250
Bi 0.500 0.500 0.500
Ba 0.000 0.000 0.000
Ba 0.750 0.750 0.750
```

Results
VASP energy	-3.5097	eV/atom

Entry 10:
The following is a PBE calculation of a relaxed structure of BaCoBi2, from OQMD. Values from VASP.

Cell and atoms, written as Quantum ESPRESSO input:
```
&SYSTEM
  ibrav = 0, nat = 4, ntyp = 3
/
ATOMIC_SPECIES
Bi 208.98 Bi.upf
Co 58.93 Co.upf
Ba 137.33 Ba.upf
CELL_PARAMETERS angstrom
2.703 -4.725 0.666
-2.755 -4.740 0.134
0.416 -3.533 -4.174
ATOMIC_POSITIONS crystal
Bi 0.000 0.000 0.000
Bi 0.750 0.750 0.750
Co 0.250 0.250 0.250
Ba 0.500 0.500 0.500
```

Results
VASP energy	-3.9898	eV/atom

Entry 11:
The following is a PBE calculation of a relaxed structure of BaMgCoBi, from OQMD. Values from VASP.

Cell and atoms, written as Quantum ESPRESSO input:
```
&SYSTEM
  ibrav = 0, nat = 4, ntyp = 4
/
ATOMIC_SPECIES
Co 58.93 Co.upf
Mg 24.30 Mg.upf
Ba 137.33 Ba.upf
Bi 208.98 Bi.upf
CELL_PARAMETERS angstrom
5.209 -1.250 0.292
2.590 0.374 4.683
1.552 -4.446 2.569
ATOMIC_POSITIONS crystal
Co 0.000 0.000 0.000
Mg 0.750 0.750 0.750
Ba 0.500 0.500 0.500
Bi 0.250 0.250 0.250
```

Results
distance to the lowest polymorph of the same formula	72	meV per atom

Entry 12:
The following is a PBE calculation of a relaxed structure of BaMgCoBi, from OQMD. Values from VASP.

Cell and atoms, written as Quantum ESPRESSO input:
```
&SYSTEM
  ibrav = 0, nat = 4, ntyp = 4
/
ATOMIC_SPECIES
Ba 137.33 Ba.upf
Mg 24.30 Mg.upf
Bi 208.98 Bi.upf
Co 58.93 Co.upf
CELL_PARAMETERS angstrom
0.000 3.706 3.706
3.706 0.000 3.706
3.706 3.706 0.000
ATOMIC_POSITIONS crystal
Ba 0.000 0.000 0.000
Mg 0.750 0.750 0.750
Bi 0.500 0.500 0.500
Co 0.250 0.250 0.250
```

Results
distance to the lowest polymorph of the same formula	10	meV per atom